Entry 1:
Here is TbErIr after structural relaxation from Alexandria via LeMat-Bulk. Energies are from PBE.

Computed properties:
DFT formation energy, meV per atom: -715
Uncorrected energy, eV/atom: -6.73
Volume, Å³ per cell: 156
Space-group type: C2/c (15)

Structure (CIF):
```
data_TbErIr
_chemical_formula_sum 'Tb2 Er2 Ir2'
_cell_length_a 4.793
_cell_length_b 4.795
_cell_length_c 6.772
_cell_angle_alpha 90.10
_cell_angle_beta 90.07
_cell_angle_gamma 90.00
_space_group_name_H-M_alt 'P 1'
_space_group_IT_number 1
loop_
_space_group_symop_operation_xyz
'x,y,z'
loop_
_atom_site_label
_atom_site_fract_x
_atom_site_fract_y
_atom_site_fract_z
_atom_site_occupancy
Er1 0.000 0.499 0.250 1
Tb1 0.500 0.999 0.250 1
Tb2 0.500 0.001 0.750 1
Er2 0.000 0.501 0.750 1
Ir1 0.000 0.000 0.000 1
Ir2 0.500 0.500 0.500 1
```

=====

Entry 2:
Here is TbErIr after structural relaxation from Alexandria via LeMat-Bulk. Energies are from PBE.

Computed properties:
DFT formation energy, meV per atom: -700
Uncorrected energy, eV/atom: -6.72
Volume, Å³ per cell: 432
Space-group type: Amm2 (38)

Structure (CIF):
```
data_TbErIr
_chemical_formula_sum 'Tb6 Er6 Ir6'
_cell_length_a 7.409
_cell_length_b 9.069
_cell_length_c 8.693
_cell_angle_alpha 121.44
_cell_angle_beta 115.22
_cell_angle_gamma 90.00
_space_group_name_H-M_alt 'P 1'
_space_group_IT_number 1
loop_
_space_group_symop_operation_xyz
'x,y,z'
loop_
_atom_site_label
_atom_site_fract_x
_atom_site_fract_y
_atom_site_fract_z
_atom_site_occupancy
Er1 0.013 0.500 0.000 1
Tb1 0.343 0.750 0.000 1
Ir1 0.420 0.667 0.334 1
Er2 0.753 0.130 0.259 1
Ir2 0.420 0.167 0.334 1
Tb2 0.164 0.955 0.410 1
Er3 0.494 0.870 0.741 1
Tb3 0.753 0.545 0.590 1
Tb4 0.164 0.455 0.410 1
Tb5 0.343 0.250 0.000 1
Er4 0.753 0.630 0.259 1
Tb6 0.754 0.045 0.590 1
Ir3 0.086 0.833 0.666 1
Ir4 0.753 0.750 0.000 1
Er5 0.494 0.370 0.741 1
Ir5 0.753 0.250 0.000 1
Er6 0.013 0.000 0.000 1
Ir6 0.086 0.333 0.666 1
```

=====

Entry 3:
Here is TbErIr after structural relaxation from Alexandria via LeMat-Bulk. Energies are from PBE.

Computed properties:
DFT formation energy, meV per atom: -583
Uncorrected energy, eV/atom: -6.60
Volume, Å³ per cell: 76
Space-group type: I4mm (107)

Structure (CIF):
```
data_TbErIr
_chemical_formula_sum 'Tb1 Er1 Ir1'
_cell_length_a 3.464
_cell_length_b 3.464
_cell_length_c 6.798
_cell_angle_alpha 104.76
_cell_angle_beta 104.76
_cell_angle_gamma 90.00
_space_group_name_H-M_alt 'P 1'
_space_group_IT_number 1
loop_
_space_group_symop_operation_xyz
'x,y,z'
loop_
_atom_site_label
_atom_site_fract_x
_atom_site_fract_y
_atom_site_fract_z
_atom_site_occupancy
Ir1 0.668 0.668 0.337 1
Tb1 0.038 0.038 0.076 1
Er1 0.294 0.294 0.587 1
```

=====

Entry 4:
Here is TbErIr2 after structural relaxation from Alexandria via LeMat-Bulk. Energies are from PBE.

Computed properties:
DFT formation energy, meV per atom: -832
Uncorrected energy, eV/atom: -7.56
Volume, Å³ per cell: 80
Space-group type: P4/mmm (123)

Structure (CIF):
```
data_TbErIr2
_chemical_formula_sum 'Tb1 Er1 Ir2'
_cell_length_a 3.576
_cell_length_b 4.725
_cell_length_c 4.725
_cell_angle_alpha 90.00
_cell_angle_beta 90.00
_cell_angle_gamma 90.00
_space_group_name_H-M_alt 'P 1'
_space_group_IT_number 1
loop_
_space_group_symop_operation_xyz
'x,y,z'
loop_
_atom_site_label
_atom_site_fract_x
_atom_site_fract_y
_atom_site_fract_z
_atom_site_occupancy
Ir1 0.000 0.500 0.000 1
Ir2 0.000 0.000 0.500 1
Er1 0.500 0.000 0.000 1
Tb1 0.500 0.500 0.500 1
```

=====

Entry 5:
Here is Er2Tc3Ir after structural relaxation from Alexandria via LeMat-Bulk. Energies are from PBE.

Computed properties:
DFT formation energy, meV per atom: -388
Uncorrected energy, eV/atom: -8.57
Volume, Å³ per cell: 109
Space-group type: C2/m (12)

Structure (CIF):
```
data_Er2Tc3Ir
_chemical_formula_sum 'Er2 Tc3 Ir1'
_cell_length_a 5.204
_cell_length_b 5.204
_cell_length_c 5.540
_cell_angle_alpha 90.14
_cell_angle_beta 117.99
_cell_angle_gamma 119.85
_space_group_name_H-M_alt 'P 1'
_space_group_IT_number 1
loop_
_space_group_symop_operation_xyz
'x,y,z'
loop_
_atom_site_label
_atom_site_fract_x
_atom_site_fract_y
_atom_site_fract_z
_atom_site_occupancy
Er1 0.752 0.376 0.128 1
Er2 0.248 0.624 0.872 1
Tc1 0.500 0.000 0.500 1
Tc2 0.500 0.500 0.500 1
Ir1 0.000 0.000 0.000 1
Tc3 0.000 0.000 0.500 1
```

=====

Entry 6:
Here is ErUTcIr after structural relaxation from Alexandria via LeMat-Bulk. Energies are from PBE.

Computed properties:
DFT formation energy, meV per atom: -304
Uncorrected energy, eV/atom: -9.07
Volume, Å³ per cell: 79
Space-group type: F-43m (216)

Structure (CIF):
```
data_ErUTcIr
_chemical_formula_sum 'Er1 U1 Tc1 Ir1'
_cell_length_a 4.807
_cell_length_b 4.807
_cell_length_c 4.807
_cell_angle_alpha 60.00
_cell_angle_beta 60.00
_cell_angle_gamma 60.00
_space_group_name_H-M_alt 'P 1'
_space_group_IT_number 1
loop_
_space_group_symop_operation_xyz
'x,y,z'
loop_
_atom_site_label
_atom_site_fract_x
_atom_site_fract_y
_atom_site_fract_z
_atom_site_occupancy
Tc1 0.500 0.500 0.500 1
U1 0.250 0.250 0.250 1
Er1 0.750 0.750 0.750 1
Ir1 0.000 0.000 0.000 1
```

=====

Entry 7:
Here is Er5Te2Ir after structural relaxation from Alexandria via LeMat-Bulk. Energies are from PBE.

Computed properties:
E_form (uncorrected), eV per atom: -0.5785
Uncorrected energy, eV/atom: -5.32
Volume, Å³ per cell: 566
Space-group type: Cmcm (63)

Structure (CIF):
```
data_Er5Te2Ir
_chemical_formula_sum 'Er10 Te4 Ir2'
_cell_length_a 5.257
_cell_length_b 8.481
_cell_length_c 13.357
_cell_angle_alpha 90.00
_cell_angle_beta 90.00
_cell_angle_gamma 108.06
_space_group_name_H-M_alt 'P 1'
_space_group_IT_number 1
loop_
_space_group_symop_operation_xyz
'x,y,z'
loop_
_atom_site_label
_atom_site_fract_x
_atom_site_fract_y
_atom_site_fract_z
_atom_site_occupancy
Er1 0.097 0.195 0.113 1
Er2 0.739 0.478 0.250 1
Te1 0.908 0.817 0.385 1
Te2 0.092 0.183 0.615 1
Ir1 0.780 0.560 0.750 1
Te3 0.092 0.183 0.885 1
Er3 0.311 0.622 0.428 1
Ir2 0.220 0.440 0.250 1
Er4 0.689 0.378 0.572 1
Er5 0.903 0.805 0.887 1
Er6 0.097 0.195 0.387 1
Er7 0.261 0.522 0.750 1
Er8 0.311 0.622 0.072 1
Te4 0.908 0.817 0.115 1
Er9 0.903 0.805 0.613 1
Er10 0.689 0.378 0.928 1
```

=====

Entry 8:
Here is Er7Te2Ir2 after structural relaxation from Alexandria via LeMat-Bulk. Energies are from PBE.

Computed properties:
E_form (uncorrected), eV per atom: -0.9298
Uncorrected energy, eV/atom: -6.02
Volume, Å³ per cell: 289
Space-group type: Imm2 (44)

Structure (CIF):
```
data_Er7Te2Ir2
_chemical_formula_sum 'Er7 Te2 Ir2'
_cell_length_a 9.343
_cell_length_b 9.343
_cell_length_c 9.343
_cell_angle_alpha 155.85
_cell_angle_beta 119.34
_cell_angle_gamma 66.27
_space_group_name_H-M_alt 'P 1'
_space_group_IT_number 1
loop_
_space_group_symop_operation_xyz
'x,y,z'
loop_
_atom_site_label
_atom_site_fract_x
_atom_site_fract_y
_atom_site_fract_z
_atom_site_occupancy
Te1 0.661 0.000 0.661 1
Ir1 0.688 0.762 0.926 1
Er1 0.548 0.132 0.416 1
Er2 0.284 0.868 0.416 1
Te2 0.262 0.500 0.762 1
Er3 0.998 0.000 0.998 1
Er4 0.621 0.353 0.267 1
Er5 0.914 0.647 0.267 1
Er6 0.311 0.685 0.626 1
Ir2 0.164 0.238 0.926 1
Er7 0.942 0.315 0.626 1
```

=====

Entry 9:
Here is ErTeIr after structural relaxation from Alexandria via LeMat-Bulk. Energies are from PBE.

Computed properties:
E_form (uncorrected), eV per atom: -0.4815
Uncorrected energy, eV/atom: -6.00
Volume, Å³ per cell: 312
Space-group type: P4_2/m (84)

Structure (CIF):
```
data_ErTeIr
_chemical_formula_sum 'Er4 Te4 Ir4'
_cell_length_a 4.590
_cell_length_b 8.251
_cell_length_c 8.251
_cell_angle_alpha 90.00
_cell_angle_beta 90.00
_cell_angle_gamma 90.00
_space_group_name_H-M_alt 'P 1'
_space_group_IT_number 1
loop_
_space_group_symop_operation_xyz
'x,y,z'
loop_
_atom_site_label
_atom_site_fract_x
_atom_site_fract_y
_atom_site_fract_z
_atom_site_occupancy
Ir1 0.000 0.726 0.826 1
Er1 0.500 0.216 0.398 1
Te1 0.000 0.024 0.703 1
Te2 0.500 0.297 0.024 1
Te3 0.500 0.703 0.976 1
Er2 0.000 0.602 0.216 1
Er3 0.000 0.398 0.784 1
Ir2 0.500 0.174 0.726 1
Er4 0.500 0.784 0.602 1
Te4 0.000 0.976 0.297 1
Ir3 0.000 0.274 0.174 1
Ir4 0.500 0.826 0.274 1
```

=====

Entry 10:
Here is Er4Te3Ir after structural relaxation from Alexandria via LeMat-Bulk. Energies are from PBE.

Computed properties:
E_form (uncorrected), eV per atom: -1.1743
Uncorrected energy, eV/atom: -5.74
Volume, Å³ per cell: 225
Space-group type: Cmmm (65)

Structure (CIF):
```
data_Er4Te3Ir
_chemical_formula_sum 'Er4 Te3 Ir1'
_cell_length_a 4.179
_cell_length_b 7.542
_cell_length_c 7.542
_cell_angle_alpha 108.47
_cell_angle_beta 90.00
_cell_angle_gamma 90.00
_space_group_name_H-M_alt 'P 1'
_space_group_IT_number 1
loop_
_space_group_symop_operation_xyz
'x,y,z'
loop_
_atom_site_label
_atom_site_fract_x
_atom_site_fract_y
_atom_site_fract_z
_atom_site_occupancy
Er1 0.000 0.208 0.208 1
Te1 0.500 0.500 0.500 1
Ir1 0.500 0.000 0.000 1
Er2 0.500 0.226 0.774 1
Te2 0.000 0.500 0.000 1
Er3 0.500 0.774 0.226 1
Te3 0.000 0.000 0.500 1
Er4 0.000 0.792 0.792 1
```